1.
CsPr2I7 | PBE | relaxed

Properties
Energy ... -0.26079 Ry per atom
Raw formation energy ... -1.42 eV per atom

Cell: 9.527 9.527 6.280 Å, 90.00 90.00 116.36°
Fractional positions:
1 Cs 0.000 0.000 0.000
2 Pr 0.302 0.698 0.500
3 Pr 0.698 0.302 0.500
4 I 0.049 0.326 0.500
5 I 0.294 0.706 0.000
6 I 0.326 0.049 0.500
7 I 0.500 0.500 0.500
8 I 0.674 0.951 0.500
9 I 0.706 0.294 0.000
10 I 0.951 0.674 0.500

---

2.
Nd2Dy3PuSe6 | PBE | relaxed

Properties
Energy ... -0.48831 Ry per atom
Raw formation energy ... -1.76 eV per atom

Cell: 9.275 9.275 8.346 Å, 103.64 103.64 25.57°
Fractional positions:
1 Nd 0.166 0.166 0.332
2 Nd 0.834 0.834 0.668
3 Dy 0.168 0.168 0.836
4 Dy 0.500 0.500 0.500
5 Dy 0.832 0.832 0.164
6 Pu 0.500 0.500 0.000
7 Se 0.004 0.004 0.748
8 Se 0.332 0.332 0.925
9 Se 0.336 0.336 0.408
10 Se 0.664 0.664 0.592
11 Se 0.668 0.668 0.075
12 Se 0.996 0.996 0.252

---

3.
SrThMnSe4 | PBE | relaxed

Properties
Energy ... -0.44104 Ry per atom
Raw formation energy ... -1.40 eV per atom

Cell: 6.905 6.941 8.495 Å, 90.00 107.46 90.00°
Fractional positions:
1 Sr 0.241 0.250 0.057
2 Sr 0.759 0.750 0.943
3 Th 0.227 0.250 0.556
4 Th 0.773 0.750 0.444
5 Mn 0.238 0.750 0.318
6 Mn 0.762 0.250 0.682
7 Se 0.018 0.512 0.733
8 Se 0.018 0.988 0.733
9 Se 0.444 0.750 0.130
10 Se 0.451 0.750 0.604
11 Se 0.549 0.250 0.396
12 Se 0.556 0.250 0.870
13 Se 0.982 0.012 0.267
14 Se 0.982 0.488 0.267

---

4.
BeTlCl | PBE | relaxed

Properties
Energy ... -0.18571 Ry per atom
Energy above the most stable polymorph in this dataset ... 0.265 eV/atom
Raw formation energy ... 0.12 eV per atom

Cell: 8.074 8.074 8.074 Å, 157.73 157.73 31.70°
Fractional positions:
1 Be 0.000 0.000 0.000
2 Tl 0.649 0.649 0.000
3 Cl 0.432 0.432 0.000

---

5.
Na3Hg3Sb | PBE | relaxed

Properties
Energy ... -0.10977 Ry per atom
Energy above the most stable polymorph in this dataset ... 0.000 eV/atom
Raw formation energy ... -0.21 eV per atom

Cell: 7.150 7.150 7.707 Å, 90.14 90.14 88.15°
Fractional positions:
1 Na 0.009 0.009 0.224
2 Na 0.039 0.471 0.240
3 Na 0.471 0.039 0.240
4 Na 0.529 0.961 0.760
5 Na 0.961 0.529 0.760
6 Na 0.991 0.991 0.776
7 Hg 0.265 0.265 0.535
8 Hg 0.290 0.710 0.500
9 Hg 0.304 0.696 0.000
10 Hg 0.696 0.304 0.000
11 Hg 0.710 0.290 0.500
12 Hg 0.735 0.735 0.465
13 Sb 0.274 0.274 0.933
14 Sb 0.726 0.726 0.067

---

6.
MgTiCr2Ag | PBE | relaxed

Properties
Formation energy ... 1.511 eV per atom
Energy ... -0.35330 Ry per atom

Cell: 4.778 4.778 4.927 Å, 90.00 90.00 90.00°
Fractional positions:
1 Mg 0.000 0.000 0.000
2 Ti 0.000 0.000 0.500
3 Cr 0.000 0.500 0.000
4 Cr 0.500 0.000 0.000
5 Ag 0.500 0.500 0.500

---

7.
SrBeNi | PBE | relaxed

Properties
Formation energy ... 0.209 eV per atom
Energy ... -0.25881 Ry per atom
Energy above the most stable polymorph in this dataset ... 0.296 eV/atom

Cell: 5.727 5.727 5.727 Å, 147.60 147.60 46.47°
Fractional positions:
1 Sr 0.000 0.000 0.000
2 Be 0.272 0.272 0.000
3 Ni 0.725 0.725 0.000

---

8.
CrHPd3 | PBE | relaxed

Properties
Energy ... -0.42422 Ry per atom
Energy above the most stable polymorph in this dataset ... 0.028 eV/atom

Cell: 4.866 4.866 5.633 Å, 90.00 90.00 109.60°
Fractional positions:
1 Cr 0.244 0.756 0.750
2 Cr 0.756 0.244 0.250
3 H 0.483 0.517 0.250
4 H 0.517 0.483 0.750
5 Pd 0.247 0.247 0.000
6 Pd 0.247 0.247 0.500
7 Pd 0.247 0.753 0.250
8 Pd 0.753 0.247 0.750
9 Pd 0.753 0.753 0.000
10 Pd 0.753 0.753 0.500